[1]
First-principles (PBE) data for crystalline YPuPt4 at its relaxed geometry, as listed in the Alexandria database.

Cell lengths 5.453, 5.453, 5.453 Å; angles 60.00, 60.00, 60.00 degrees
Site moments in Bohr magnetons follow the coordinates.
Fractional coordinates of all 6 atoms:
1 Pu 0.000 0.000 0.000  5.24
2 Pt 0.625 0.125 0.625  -0.06
3 Pt 0.625 0.625 0.125  -0.06
4 Pt 0.125 0.625 0.625  -0.06
5 Pt 0.625 0.625 0.625  -0.06
6 Y 0.250 0.250 0.250  0.14

Results
- V (Å³/atom) = 19.11
- ΔE_f (meV per atom) = -960



[2]
First-principles (PBE) data for crystalline MgBeW3 at its relaxed geometry, as listed in the Alexandria database.

Cell lengths 4.539, 4.539, 4.539 Å; angles 90.00, 90.00, 90.00 degrees
Site moments in Bohr magnetons follow the coordinates.
Fractional coordinates of all 5 atoms:
1 W 0.500 0.000 0.000  0.23
2 W 0.000 0.500 0.000  0.31
3 W 0.000 0.000 0.500  0.20
4 Mg 0.000 0.000 0.000  0.02
5 Be 0.500 0.500 0.500  -0.01

Results
- relative energy among the computed polymorphs (meV per atom) = 1866.2
- V (Å³/atom) = 18.70
- ΔE_f (meV per atom) = 2800



[3]
First-principles (PBE) data for crystalline PmGeRh at its relaxed geometry, as listed in the Alexandria database.

Cell lengths 4.572, 4.572, 4.572 Å; angles 60.00, 60.00, 60.00 degrees
Fractional coordinates of all 3 atoms:
1 Pm 0.500 0.500 0.500
2 Ge 0.000 0.000 0.000
3 Rh 0.250 0.250 0.250

Results
- relative energy among the computed polymorphs (meV per atom) = 329.1
- V (Å³/atom) = 22.53
- ΔE_f (meV per atom) = -591



[4]
First-principles (PBE) data for crystalline TaZn2N2 at its relaxed geometry, as listed in the Alexandria database.

Cell lengths 6.458, 6.458, 2.878 Å; angles 90.00, 90.00, 90.00 degrees
Fractional coordinates of all 10 atoms:
1 Zn 0.626 0.126 0.000
2 Zn 0.374 0.874 0.000
3 Zn 0.126 0.374 0.000
4 Zn 0.874 0.626 0.000
5 N 0.794 0.294 0.500
6 N 0.206 0.706 0.500
7 N 0.706 0.794 0.500
8 N 0.294 0.206 0.500
9 Ta 0.000 0.000 0.000
10 Ta 0.500 0.500 0.000

Results
- uncorrected formation energy (eV/atom) = 1.130
- relative energy among the computed polymorphs (meV per atom) = 271.3
- V (Å³/atom) = 12.00



[5]
First-principles (PBE) data for crystalline ZnFeTc2 at its relaxed geometry, as listed in the Alexandria database.

Cell lengths 4.801, 4.801, 2.612 Å; angles 90.00, 90.00, 114.31 degrees
Site moments in Bohr magnetons follow the coordinates.
Fractional coordinates of all 4 atoms:
1 Zn 0.500 0.000 0.500  -0.01
2 Tc 0.000 0.000 0.000  -0.02
3 Tc 0.500 0.500 0.000  -0.02
4 Fe 0.000 0.500 0.500  2.32

Results
- V (Å³/atom) = 13.72
- ΔE_f (meV per atom) = 211



[6]
First-principles (PBE) data for crystalline Dy2Ge3Os at its relaxed geometry, as listed in the Alexandria database.

Cell lengths 4.360, 5.638, 6.268 Å; angles 116.73, 110.35, 90.00 degrees
Site moments in Bohr magnetons follow the coordinates.
Fractional coordinates of all 6 atoms:
1 Ge 0.629 0.629 0.258  0.00
2 Ge 0.371 0.371 0.742  0.00
3 Ge 0.000 0.000 0.000  0.02
4 Dy 0.316 0.816 0.632  0.02
5 Dy 0.684 0.184 0.368  0.02
6 Os 0.000 0.500 0.000  0.22

Results
- relative energy among the computed polymorphs (meV per atom) = 296.0
- V (Å³/atom) = 21.12
- ΔE_f (meV per atom) = -261



[7]
First-principles (PBE) data for crystalline ZrBe3Cr at its relaxed geometry, as listed in the Alexandria database.

Cell lengths 4.036, 4.036, 4.036 Å; angles 90.00, 90.00, 90.00 degrees
Fractional coordinates of all 5 atoms:
1 Cr 0.000 0.000 0.000
2 Zr 0.500 0.500 0.500
3 Be 0.500 0.000 0.000
4 Be 0.000 0.500 0.000
5 Be 0.000 0.000 0.500

Results
- relative energy among the computed polymorphs (meV per atom) = 0.0
- V (Å³/atom) = 13.14
- ΔE_f (meV per atom) = 448



[8]
First-principles (PBE) data for crystalline IrPbSe at its relaxed geometry, as listed in the Alexandria database.

Cell lengths 6.715, 6.714, 3.286 Å; angles 75.83, 75.83, 28.33 degrees
Fractional coordinates of all 3 atoms:
1 Ir 0.030 0.030 0.970
2 Pb 0.357 0.357 0.643
3 Se 0.614 0.614 0.386

Results
- uncorrected formation energy (eV/atom) = 0.180
- relative energy among the computed polymorphs (meV per atom) = 248.1
- V (Å³/atom) = 22.68



[9]
First-principles (PBE) data for crystalline NaSrP3O9 at its relaxed geometry, as listed in the Alexandria database.

Cell lengths 6.913, 7.269, 7.869 Å; angles 83.87, 80.67, 82.53 degrees
Fractional coordinates of all 28 atoms:
1 O 0.227 0.489 0.178
2 O 0.311 0.826 0.111
3 O 0.823 0.616 0.400
4 O 0.967 0.747 0.092
5 O 0.033 0.253 0.908
6 O 0.908 0.946 0.345
7 O 0.336 0.081 0.297
8 O 0.752 0.342 0.133
9 O 0.773 0.511 0.822
10 O 0.689 0.174 0.889
11 O 0.177 0.384 0.600
12 O 0.092 0.054 0.655
13 O 0.370 0.151 0.798
14 O 0.352 0.736 0.429
15 O 0.248 0.658 0.867
16 O 0.648 0.264 0.571
17 O 0.630 0.849 0.202
18 O 0.664 0.919 0.703
19 P 0.200 0.663 0.059
20 P 0.833 0.789 0.275
21 P 0.604 0.122 0.722
22 P 0.800 0.337 0.941
23 P 0.167 0.211 0.725
24 P 0.396 0.878 0.278
25 Sr 0.012 0.732 0.645
26 Sr 0.988 0.268 0.355
27 Na 0.468 0.362 0.338
28 Na 0.532 0.638 0.662

Results
- uncorrected formation energy (eV/atom) = -2.424
- V (Å³/atom) = 13.76



[10]
First-principles (PBE) data for crystalline Tl3VCu at its relaxed geometry, as listed in the Alexandria database.

Cell lengths 5.168, 5.168, 5.168 Å; angles 90.00, 90.00, 90.00 degrees
Site moments in Bohr magnetons follow the coordinates.
Fractional coordinates of all 5 atoms:
1 Tl 0.000 0.000 0.500  0.01
2 Tl 0.000 0.500 0.000  0.01
3 Tl 0.500 0.000 0.000  0.01
4 V 0.500 0.500 0.500  3.11
5 Cu 0.000 0.000 0.000  0.01

Results
- relative energy among the computed polymorphs (meV per atom) = 0.0
- V (Å³/atom) = 27.60
- ΔE_f (meV per atom) = 778



[11]
First-principles (PBE) data for crystalline V3SiN at its relaxed geometry, as listed in the Alexandria database.

Cell lengths 3.025, 5.148, 7.712 Å; angles 90.00, 90.00, 107.09 degrees
Fractional coordinates of all 10 atoms:
1 Si 0.254 0.507 0.250
2 Si 0.746 0.493 0.750
3 V 0.632 0.264 0.045
4 V 0.368 0.736 0.545
5 V 0.046 0.093 0.750
6 V 0.632 0.264 0.455
7 V 0.368 0.736 0.955
8 V 0.954 0.907 0.250
9 N 0.000 0.000 0.000
10 N 0.000 0.000 0.500

Results
- uncorrected formation energy (eV/atom) = -0.823
- relative energy among the computed polymorphs (meV per atom) = 0.0
- V (Å³/atom) = 11.48



Number 4 is which compound? TaZn2N2